(1)
MgScCdGa: relaxed, PBE-GGA.

Structure (CIF):
```
data_MgScCdGa
_chemical_formula_sum 'Mg1 Sc1 Cd1 Ga1'
_cell_length_a 4.872
_cell_length_b 4.872
_cell_length_c 4.872
_cell_angle_alpha 60.00
_cell_angle_beta 60.00
_cell_angle_gamma 60.00
_space_group_name_H-M_alt 'P 1'
_space_group_IT_number 1
_space_group_name_Hall 'P 1'
loop_
_atom_site_label
_atom_site_type_symbol
_atom_site_fract_x
_atom_site_fract_y
_atom_site_fract_z
_atom_site_occupancy
Cd1 Cd 0.250 0.250 0.250 1
Sc1 Sc 0.500 0.500 0.500 1
Ga1 Ga 0.000 0.000 0.000 1
Mg1 Mg 0.750 0.750 0.750 1
```

Output
Offset from the most stable computed form = 0.2399 eV/atom

***

(2)
HfPaNi: relaxed, PBE-GGA.

Structure (CIF):
```
data_HfPaNi
_chemical_formula_sum 'Hf1 Pa1 Ni1'
_cell_length_a 4.509
_cell_length_b 4.509
_cell_length_c 4.509
_cell_angle_alpha 60.00
_cell_angle_beta 60.00
_cell_angle_gamma 60.00
_space_group_name_H-M_alt 'P 1'
_space_group_IT_number 1
_space_group_name_Hall 'P 1'
loop_
_atom_site_label
_atom_site_type_symbol
_atom_site_fract_x
_atom_site_fract_y
_atom_site_fract_z
_atom_site_occupancy
Pa1 Pa 0.000 0.000 0.000 1
Ni1 Ni 0.750 0.750 0.750 1
Hf1 Hf 0.250 0.250 0.250 1
```

Output
Offset from the most stable computed form = 0.6537 eV/atom
Energy of formation = 0.8303 eV per atom

***

(3)
ScCoAsW: relaxed, PBE-GGA.

Structure (CIF):
```
data_ScCoAsW
_chemical_formula_sum 'Sc1 Co1 As1 W1'
_cell_length_a 4.387
_cell_length_b 4.387
_cell_length_c 4.387
_cell_angle_alpha 60.00
_cell_angle_beta 60.00
_cell_angle_gamma 60.00
_space_group_name_H-M_alt 'P 1'
_space_group_IT_number 1
_space_group_name_Hall 'P 1'
loop_
_atom_site_label
_atom_site_type_symbol
_atom_site_fract_x
_atom_site_fract_y
_atom_site_fract_z
_atom_site_occupancy
Co1 Co 0.750 0.750 0.750 1
Sc1 Sc 0.500 0.500 0.500 1
W1 W 0.250 0.250 0.250 1
As1 As 0.000 0.000 0.000 1
```

Output
Offset from the most stable computed form = 0.0000 eV/atom

***

(4)
HgAsIrO: relaxed, PBE-GGA.

Structure (CIF):
```
data_HgAsIrO
_chemical_formula_sum 'Hg2 As2 Ir2 O2'
_cell_length_a 4.133
_cell_length_b 4.133
_cell_length_c 8.162
_cell_angle_alpha 90.00
_cell_angle_beta 90.00
_cell_angle_gamma 90.00
_space_group_name_H-M_alt 'P 1'
_space_group_IT_number 1
_space_group_name_Hall 'P 1'
loop_
_atom_site_label
_atom_site_type_symbol
_atom_site_fract_x
_atom_site_fract_y
_atom_site_fract_z
_atom_site_occupancy
As1 As 0.250 0.250 0.670 1
As2 As 0.750 0.750 0.330 1
Ir1 Ir 0.750 0.250 0.500 1
Ir2 Ir 0.250 0.750 0.500 1
Hg1 Hg 0.750 0.750 0.882 1
Hg2 Hg 0.250 0.250 0.118 1
O1 O 0.250 0.750 0.000 1
O2 O 0.750 0.250 0.000 1
```

Output
Offset from the most stable computed form = 0.1165 eV/atom

***

(5)
Mg3AgN: relaxed, PBE-GGA.

Structure (CIF):
```
data_Mg3AgN
_chemical_formula_sum 'Mg3 Ag1 N1'
_cell_length_a 4.276
_cell_length_b 4.276
_cell_length_c 4.276
_cell_angle_alpha 90.00
_cell_angle_beta 90.00
_cell_angle_gamma 90.00
_space_group_name_H-M_alt 'P 1'
_space_group_IT_number 1
_space_group_name_Hall 'P 1'
loop_
_atom_site_label
_atom_site_type_symbol
_atom_site_fract_x
_atom_site_fract_y
_atom_site_fract_z
_atom_site_occupancy
Ag1 Ag 0.000 0.000 0.000 1
Mg1 Mg 0.000 0.500 0.500 1
Mg2 Mg 0.500 0.000 0.500 1
Mg3 Mg 0.500 0.500 0.000 1
N1 N 0.500 0.500 0.500 1
```

Output
E_tot = -3.548 eV/atom

***

(6)
Fe3IrW: relaxed, PBE-GGA.

Structure (CIF):
```
data_Fe3IrW
_chemical_formula_sum 'Fe3 Ir1 W1'
_cell_length_a 2.903
_cell_length_b 4.854
_cell_length_c 5.043
_cell_angle_alpha 86.90
_cell_angle_beta 73.35
_cell_angle_gamma 72.75
_space_group_name_H-M_alt 'P 1'
_space_group_IT_number 1
_space_group_name_Hall 'P 1'
loop_
_atom_site_label
_atom_site_type_symbol
_atom_site_fract_x
_atom_site_fract_y
_atom_site_fract_z
_atom_site_occupancy
Fe1 Fe 0.566 0.548 0.837 1
Fe2 Fe 0.355 0.315 0.493 1
Fe3 Fe 0.956 0.936 0.669 1
Ir1 Ir 0.768 0.715 0.265 1
W1 W 0.148 0.152 0.069 1
```

Output
Energy of formation = -0.0076 eV per atom

***

(7)
Tb3ZnAu5: relaxed, PBE-GGA.

Structure (CIF):
```
data_Tb3ZnAu5
_chemical_formula_sum 'Tb12 Zn4 Au20'
_cell_length_a 8.435
_cell_length_b 8.435
_cell_length_c 13.530
_cell_angle_alpha 90.00
_cell_angle_beta 90.00
_cell_angle_gamma 127.42
_space_group_name_H-M_alt 'P 1'
_space_group_IT_number 1
_space_group_name_Hall 'P 1'
loop_
_atom_site_label
_atom_site_type_symbol
_atom_site_fract_x
_atom_site_fract_y
_atom_site_fract_z
_atom_site_occupancy
Zn1 Zn 0.967 0.033 0.750 1
Zn2 Zn 0.221 0.779 0.250 1
Zn3 Zn 0.779 0.221 0.750 1
Zn4 Zn 0.033 0.967 0.250 1
Au1 Au 0.243 0.187 0.895 1
Au2 Au 0.068 0.502 0.103 1
Au3 Au 0.187 0.243 0.105 1
Au4 Au 0.813 0.757 0.605 1
Au5 Au 0.813 0.757 0.895 1
Au6 Au 0.932 0.498 0.603 1
Au7 Au 0.565 0.818 0.750 1
Au8 Au 0.502 0.068 0.897 1
Au9 Au 0.243 0.187 0.605 1
Au10 Au 0.435 0.182 0.250 1
Au11 Au 0.757 0.813 0.105 1
Au12 Au 0.068 0.502 0.397 1
Au13 Au 0.498 0.932 0.397 1
Au14 Au 0.932 0.498 0.897 1
Au15 Au 0.502 0.068 0.603 1
Au16 Au 0.182 0.435 0.750 1
Au17 Au 0.187 0.243 0.395 1
Au18 Au 0.498 0.932 0.103 1
Au19 Au 0.818 0.565 0.250 1
Au20 Au 0.757 0.813 0.395 1
Tb1 Tb 0.870 0.130 0.538 1
Tb2 Tb 0.130 0.870 0.462 1
Tb3 Tb 0.870 0.130 0.962 1
Tb4 Tb 0.130 0.870 0.038 1
Tb5 Tb 0.618 0.382 0.050 1
Tb6 Tb 0.382 0.618 0.950 1
Tb7 Tb 0.179 0.821 0.750 1
Tb8 Tb 0.572 0.428 0.750 1
Tb9 Tb 0.618 0.382 0.450 1
Tb10 Tb 0.428 0.572 0.250 1
Tb11 Tb 0.382 0.618 0.550 1
Tb12 Tb 0.821 0.179 0.250 1
```

Output
Energy of formation = -0.7982 eV per atom

***

(8)
Sr2Au2O5: relaxed, PBE-GGA.

Structure (CIF):
```
data_Sr2Au2O5
_chemical_formula_sum 'Sr2 Au2 O5'
_cell_length_a 10.003
_cell_length_b 3.783
_cell_length_c 3.783
_cell_angle_alpha 90.00
_cell_angle_beta 90.00
_cell_angle_gamma 90.00
_space_group_name_H-M_alt 'P 1'
_space_group_IT_number 1
_space_group_name_Hall 'P 1'
loop_
_atom_site_label
_atom_site_type_symbol
_atom_site_fract_x
_atom_site_fract_y
_atom_site_fract_z
_atom_site_occupancy
Sr1 Sr 0.259 0.500 0.500 1
Sr2 Sr 0.741 0.500 0.500 1
O1 O 0.120 0.000 0.500 1
O2 O 0.500 0.500 0.500 1
O3 O 0.880 0.500 0.000 1
O4 O 0.120 0.500 0.000 1
O5 O 0.880 0.000 0.500 1
Au1 Au 0.000 0.000 0.000 1
Au2 Au 0.500 0.000 0.000 1
```

Output
Offset from the most stable computed form = 0.5050 eV/atom

***

(9)
ErNiGe: relaxed, PBE-GGA.

Structure (CIF):
```
data_ErNiGe
_chemical_formula_sum 'Er4 Ni4 Ge4'
_cell_length_a 6.854
_cell_length_b 4.215
_cell_length_c 7.241
_cell_angle_alpha 90.00
_cell_angle_beta 90.00
_cell_angle_gamma 90.00
_space_group_name_H-M_alt 'P 1'
_space_group_IT_number 1
_space_group_name_Hall 'P 1'
loop_
_atom_site_label
_atom_site_type_symbol
_atom_site_fract_x
_atom_site_fract_y
_atom_site_fract_z
_atom_site_occupancy
Ni1 Ni 0.690 0.250 0.580 1
Ni2 Ni 0.810 0.750 0.080 1
Ni3 Ni 0.190 0.250 0.920 1
Ni4 Ni 0.310 0.750 0.420 1
Er1 Er 0.992 0.250 0.294 1
Er2 Er 0.008 0.750 0.706 1
Er3 Er 0.492 0.250 0.206 1
Er4 Er 0.508 0.750 0.794 1
Ge1 Ge 0.198 0.750 0.090 1
Ge2 Ge 0.802 0.250 0.910 1
Ge3 Ge 0.698 0.750 0.410 1
Ge4 Ge 0.302 0.250 0.590 1
```

Output
E_tot = -5.734 eV/atom

***

(10)
ZrBePd: relaxed, PBE-GGA.

Structure (CIF):
```
data_ZrBePd
_chemical_formula_sum 'Zr1 Be1 Pd1'
_cell_length_a 4.120
_cell_length_b 4.120
_cell_length_c 4.120
_cell_angle_alpha 60.00
_cell_angle_beta 60.00
_cell_angle_gamma 60.00
_space_group_name_H-M_alt 'P 1'
_space_group_IT_number 1
_space_group_name_Hall 'P 1'
loop_
_atom_site_label
_atom_site_type_symbol
_atom_site_fract_x
_atom_site_fract_y
_atom_site_fract_z
_atom_site_occupancy
Zr1 Zr 0.750 0.750 0.750 1
Pd1 Pd 0.250 0.250 0.250 1
Be1 Be 0.000 0.000 0.000 1
```

Output
Offset from the most stable computed form = 0.4162 eV/atom

***

(11)
BaTlHgAu: relaxed, PBE-GGA.

Structure (CIF):
```
data_BaTlHgAu
_chemical_formula_sum 'Ba1 Tl1 Hg1 Au1'
_cell_length_a 5.390
_cell_length_b 5.390
_cell_length_c 5.390
_cell_angle_alpha 60.00
_cell_angle_beta 60.00
_cell_angle_gamma 60.00
_space_group_name_H-M_alt 'P 1'
_space_group_IT_number 1
_space_group_name_Hall 'P 1'
loop_
_atom_site_label
_atom_site_type_symbol
_atom_site_fract_x
_atom_site_fract_y
_atom_site_fract_z
_atom_site_occupancy
Au1 Au 0.750 0.750 0.750 1
Tl1 Tl 0.500 0.500 0.500 1
Ba1 Ba 0.250 0.250 0.250 1
Hg1 Hg 0.000 0.000 0.000 1
```

Output
Offset from the most stable computed form = 0.1234 eV/atom

***

(12)
GdSb: relaxed, PBE-GGA.

Structure (CIF):
```
data_GdSb
_chemical_formula_sum 'Gd1 Sb1'
_cell_length_a 4.276
_cell_length_b 4.276
_cell_length_c 3.953
_cell_angle_alpha 90.00
_cell_angle_beta 90.00
_cell_angle_gamma 120.00
_space_group_name_H-M_alt 'P 1'
_space_group_IT_number 1
_space_group_name_Hall 'P 1'
loop_
_atom_site_label
_atom_site_type_symbol
_atom_site_fract_x
_atom_site_fract_y
_atom_site_fract_z
_atom_site_occupancy
Gd1 Gd 0.667 0.333 0.750 1
Sb1 Sb 0.333 0.667 0.250 1
```

Output
E_tot = -5.316 eV/atom

***

(13)
LaGdFe2Si2: relaxed, PBE-GGA.

Structure (CIF):
```
data_LaGdFe2Si2
_chemical_formula_sum 'La1 Gd1 Fe2 Si2'
_cell_length_a 4.060
_cell_length_b 4.060
_cell_length_c 6.836
_cell_angle_alpha 90.00
_cell_angle_beta 90.00
_cell_angle_gamma 90.00
_space_group_name_H-M_alt 'P 1'
_space_group_IT_number 1
_space_group_name_Hall 'P 1'
loop_
_atom_site_label
_atom_site_type_symbol
_atom_site_fract_x
_atom_site_fract_y
_atom_site_fract_z
_atom_site_occupancy
Si1 Si 0.000 0.000 0.839 1
Si2 Si 0.500 0.500 0.170 1
Fe1 Fe 0.500 0.000 0.006 1
Fe2 Fe 0.000 0.500 0.006 1
Gd1 Gd 0.000 0.000 0.305 1
La1 La 0.500 0.500 0.676 1
```

Output
E_tot = -6.777 eV/atom

***

(14)
ErZnAu: relaxed, PBE-GGA.

Structure (CIF):
```
data_ErZnAu
_chemical_formula_sum 'Er1 Zn1 Au1'
_cell_length_a 4.537
_cell_length_b 4.537
_cell_length_c 4.537
_cell_angle_alpha 60.00
_cell_angle_beta 60.00
_cell_angle_gamma 60.00
_space_group_name_H-M_alt 'P 1'
_space_group_IT_number 1
_space_group_name_Hall 'P 1'
loop_
_atom_site_label
_atom_site_type_symbol
_atom_site_fract_x
_atom_site_fract_y
_atom_site_fract_z
_atom_site_occupancy
Au1 Au 0.250 0.250 0.250 1
Zn1 Zn 0.000 0.000 0.000 1
Er1 Er 0.750 0.750 0.750 1
```

Output
Energy of formation = -0.3654 eV per atom

***

(15)
KNdHg: relaxed, PBE-GGA.

Structure (CIF):
```
data_KNdHg
_chemical_formula_sum 'K1 Nd1 Hg1'
_cell_length_a 5.284
_cell_length_b 5.284
_cell_length_c 5.284
_cell_angle_alpha 60.00
_cell_angle_beta 60.00
_cell_angle_gamma 60.00
_space_group_name_H-M_alt 'P 1'
_space_group_IT_number 1
_space_group_name_Hall 'P 1'
loop_
_atom_site_label
_atom_site_type_symbol
_atom_site_fract_x
_atom_site_fract_y
_atom_site_fract_z
_atom_site_occupancy
Hg1 Hg 0.250 0.250 0.250 1
Nd1 Nd 0.750 0.750 0.750 1
K1 K 0.000 0.000 0.000 1
```

Output
E_tot = -1.436 eV/atom

***

(16)
Tb5Zn4Pd: relaxed, PBE-GGA.

Structure (CIF):
```
data_Tb5Zn4Pd
_chemical_formula_sum 'Tb5 Zn4 Pd1'
_cell_length_a 3.585
_cell_length_b 3.585
_cell_length_c 17.613
_cell_angle_alpha 90.00
_cell_angle_beta 90.00
_cell_angle_gamma 90.00
_space_group_name_H-M_alt 'P 1'
_space_group_IT_number 1
_space_group_name_Hall 'P 1'
loop_
_atom_site_label
_atom_site_type_symbol
_atom_site_fract_x
_atom_site_fract_y
_atom_site_fract_z
_atom_site_occupancy
Zn1 Zn 0.000 0.000 0.801 1
Zn2 Zn 0.000 0.000 0.398 1
Zn3 Zn 0.000 0.000 0.199 1
Zn4 Zn 0.000 0.000 0.602 1
Tb1 Tb 0.500 0.500 0.500 1
Tb2 Tb 0.500 0.500 0.298 1
Tb3 Tb 0.500 0.500 0.904 1
Tb4 Tb 0.500 0.500 0.096 1
Tb5 Tb 0.500 0.500 0.702 1
Pd1 Pd 0.000 0.000 0.000 1
```

Output
Energy of formation = -0.4607 eV per atom

***

(17)
RbLuInTe3: relaxed, PBE-GGA.

Structure (CIF):
```
data_RbLuInTe3
_chemical_formula_sum 'Rb2 Lu2 In2 Te6'
_cell_length_a 8.585
_cell_length_b 8.585
_cell_length_c 12.072
_cell_angle_alpha 90.00
_cell_angle_beta 90.00
_cell_angle_gamma 149.47
_space_group_name_H-M_alt 'P 1'
_space_group_IT_number 1
_space_group_name_Hall 'P 1'
loop_
_atom_site_label
_atom_site_type_symbol
_atom_site_fract_x
_atom_site_fract_y
_atom_site_fract_z
_atom_site_occupancy
In1 In 0.444 0.556 0.750 1
In2 In 0.556 0.444 0.250 1
Te1 Te 0.625 0.375 0.477 1
Te2 Te 0.943 0.057 0.250 1
Te3 Te 0.625 0.375 0.023 1
Te4 Te 0.057 0.943 0.750 1
Te5 Te 0.375 0.625 0.977 1
Te6 Te 0.375 0.625 0.523 1
Rb1 Rb 0.251 0.749 0.250 1
Rb2 Rb 0.749 0.251 0.750 1
Lu1 Lu 0.000 0.000 0.500 1
Lu2 Lu 0.000 0.000 0.000 1
```

Output
E_tot = -3.806 eV/atom

***

(18)
DyErAlNi2: relaxed, PBE-GGA.

Structure (CIF):
```
data_DyErAlNi2
_chemical_formula_sum 'Dy1 Er1 Al1 Ni2'
_cell_length_a 3.626
_cell_length_b 7.055
_cell_length_c 7.055
_cell_angle_alpha 32.07
_cell_angle_beta 90.00
_cell_angle_gamma 90.00
_space_group_name_H-M_alt 'P 1'
_space_group_IT_number 1
_space_group_name_Hall 'P 1'
loop_
_atom_site_label
_atom_site_type_symbol
_atom_site_fract_x
_atom_site_fract_y
_atom_site_fract_z
_atom_site_occupancy
Ni1 Ni 0.000 0.195 0.195 1
Ni2 Ni 0.000 0.806 0.806 1
Er1 Er 0.500 0.367 0.367 1
Dy1 Dy 0.500 0.632 0.632 1
Al1 Al 0.000 0.999 0.999 1
```

Output
E_tot = -5.332 eV/atom

***

(19)
LiPd2Pt: relaxed, PBE-GGA.

Structure (CIF):
```
data_LiPd2Pt
_chemical_formula_sum 'Li1 Pd2 Pt1'
_cell_length_a 4.751
_cell_length_b 4.751
_cell_length_c 2.761
_cell_angle_alpha 90.00
_cell_angle_beta 90.00
_cell_angle_gamma 109.29
_space_group_name_H-M_alt 'P 1'
_space_group_IT_number 1
_space_group_name_Hall 'P 1'
loop_
_atom_site_label
_atom_site_type_symbol
_atom_site_fract_x
_atom_site_fract_y
_atom_site_fract_z
_atom_site_occupancy
Li1 Li 0.000 0.000 0.500 1
Pd1 Pd 0.000 0.500 0.000 1
Pd2 Pd 0.500 0.000 0.000 1
Pt1 Pt 0.500 0.500 0.500 1
```

Output
Offset from the most stable computed form = 0.0000 eV/atom

***

(20)
Sc2AlCo: relaxed, PBE-GGA.

Structure (CIF):
```
data_Sc2AlCo
_chemical_formula_sum 'Sc2 Al1 Co1'
_cell_length_a 4.518
_cell_length_b 4.518
_cell_length_c 4.518
_cell_angle_alpha 60.00
_cell_angle_beta 60.00
_cell_angle_gamma 60.00
_space_group_name_H-M_alt 'P 1'
_space_group_IT_number 1
_space_group_name_Hall 'P 1'
loop_
_atom_site_label
_atom_site_type_symbol
_atom_site_fract_x
_atom_site_fract_y
_atom_site_fract_z
_atom_site_occupancy
Al1 Al 0.500 0.500 0.500 1
Sc1 Sc 0.000 0.000 0.000 1
Sc2 Sc 0.750 0.750 0.750 1
Co1 Co 0.250 0.250 0.250 1
```

Output
E_tot = -6.157 eV/atom